VASP calculation (SCAN) on a PBEsol-optimized structure of MgAgAs.

mass density = 6262 kg/m3
E_form = -0.11 eV/atom
calculated volume = 54.92 Å³/cell
size of the total moment = 0.000 μB/atom
total DFT energy (no corrections) = -18.9571 eV per atom

Cell lengths 3.1898, 4.0008, 5.0062 Å; angles 113.55, 108.58, 90.00 degrees
With the nearest neighbours (Å) after each atom.
Atoms (fractional coordinates):
As 0.6692 0.6692 0.3383  5 Ag 2.85-2.94, 5 Mg 2.91, 2 As 3.19
Mg 0.3307 0.3307 0.6613  5 Ag 2.84-2.95, 5 As 2.91
Ag 0.0002 0.0002 0.0004  5 Mg 2.84-2.95, 5 As 2.85-2.94